Here is LiPuHfRe after structural relaxation from Alexandria. Energies are from PBE.

Results
The total magnetization comes out at 21.6 μB per cell. The value obtained for the volume is 18.8 A^3/atom. The value obtained for the total energy is -9.61 eV/atom. The energy of formation is 0.05 eV per atom.

abc: 6.6963 6.6963 6.6963
angles: 90.00 90.00 90.00
Space group F-43m (No. 216)
Inequivalent atoms, fractional coordinates:
Li 0.0000 0.0000 0.0000
Pu 0.2500 0.2500 0.2500
Hf 0.2500 0.2500 0.7500
Re 0.0000 0.0000 0.5000